1.
Crystalline DyY4Ho2 at its relaxed geometry. Source: Alexandria via LeMat-Bulk, functional PBE.

Cell: 3.545 9.409 8.536 Å, 121.75 78.02 112.14°
Sites, in units of the cell vectors:
Dy1 0.000 0.000 0.000
Y1 0.193 0.834 0.280
Y2 0.590 0.294 0.408
Y3 0.410 0.706 0.592
Ho1 0.360 0.430 0.140
Y4 0.807 0.166 0.720
Ho2 0.640 0.570 0.860

Its excess energy over the best structure of this formula in the dataset is 0.00 eV per formula unit. The volume comes out at 224 Å³ per cell. The spin magnetization comes out at 0.00 Bohr magnetons per cell. As for the space group: C2/m. Its density of states at the Fermi level is 1.72 states/eV/atom. The uncorrected energy is -5.6261 eV per atom. The formation energy from the elements comes out at 0.033 eV per atom.

***

2.
Crystalline TcHgO at its relaxed geometry. Source: Alexandria via LeMat-Bulk, functional PBE.

Cell: 2.885 2.885 13.731 Å, 90.15 101.94 60.00°
Sites, in units of the cell vectors:
Hg1 0.278 0.033 0.827
O1 0.632 0.859 0.098
Tc1 0.751 0.291 0.423
Tc2 0.850 0.249 0.010
O2 0.302 0.014 0.334
Hg2 0.325 0.506 0.607

The volume comes out at 96 Å³ per cell. The spin magnetization comes out at 0.00 Bohr magnetons per cell. As for the space group: P1. Its density of states at the Fermi level is 0.47 states/eV/atom. The formation energy from raw total energies is -0.3745 eV per atom. The uncorrected energy is -5.5832 eV per atom.